# 1
CoRe2Ir2 PBE optimized geometry; symmetry = No. 139; energy relative to the elements = 0.64 eV/atom; relative energy among the computed polymorphs = 352 meV/atom; VASP energy = -46.5 eV per formula unit
1.0
-1.3117 2.6053 -2.0840
-2.7047 -2.1414 -0.9747
-5.4612 2.3812 3.3308
Co Ir Re
1 2 2
direct
0.0000 0.0000 0.0000 Co
0.4026 0.4026 0.1948 Ir
0.5974 0.5974 0.8052 Ir
0.2500 0.7500 0.5000 Re
0.7500 0.2500 0.5000 Re

---

# 2
CoRe4Ir PBE optimized geometry; symmetry = No. 216; energy relative to the elements = 0.58 eV/atom; VASP energy = -62.3 eV per formula unit
1.0
-0.5883 -1.0059 4.9595
-3.8819 -2.9034 1.5673
0.8829 -4.6952 1.7691
Re Co Ir
4 1 1
direct
0.6244 0.1268 0.6244 Re
0.6244 0.6244 0.1268 Re
0.6244 0.6244 0.6244 Re
0.1268 0.6244 0.6244 Re
0.2500 0.2500 0.2500 Co
0.0000 0.0000 0.0000 Ir

---

# 3
Co2ReIr PBE optimized geometry; symmetry = No. 8; energy relative to the elements = 0.02 eV/atom; VASP energy = -35.5 eV per formula unit
1.0
-0.1893 -0.9388 -4.4579
2.1623 -1.8301 -3.5729
-1.6304 -4.1602 0.1425
Co Re Ir
2 1 1
direct
0.7477 0.7477 0.7615 Co
0.0020 0.0020 0.9924 Co
0.2520 0.2520 0.2433 Re
0.4984 0.4984 0.5027 Ir

---

- Which value of VASP energy does entry 1 give?
  -46.5 eV per formula unit

---

- The lowest VASP energy belongs to which entry?
  CoRe4Ir